No. 1
{
  "formula": "CoReCl3",
  "functional": "GGA-PBE",
  "state": "relaxed",
  "raw_formation_energy_kcal_per_mol_atoms": 19.12,
  "sg": "No. 221",
  "relative_energy_ev_per_atom": 0.000,
  "vol_a3_per_atom": 21.7,
  "lattice": [[-3.488, -3.251, -0.086], [3.179, -3.435, 0.917], [-0.687, 0.613, 4.679]],
  "species": ["Re", "Co", "Cl", "Cl", "Cl"],
  "frac_coords": [[0.500, 0.500, 0.500], [0.000, 0.000, 0.000], [0.000, 0.500, 0.000], [0.000, 0.000, 0.500], [0.500, 0.000, 0.000]]
}



No. 2
{
  "formula": "Co2ReCl",
  "functional": "GGA-PBE",
  "state": "relaxed",
  "raw_formation_energy_kcal_per_mol_atoms": 13.45,
  "sg": "No. 99",
  "relative_energy_ev_per_atom": 0.322,
  "vol_a3_per_atom": 13.7,
  "lattice": [[2.919, 0.000, 0.000], [0.000, 2.919, 0.000], [0.000, 0.000, 6.422]],
  "species": ["Re", "Co", "Co", "Cl"],
  "frac_coords": [[0.000, 0.000, 0.454], [0.000, 0.000, 0.037], [0.500, 0.500, 0.249], [0.500, 0.500, 0.761]]
}



No. 3
{
  "formula": "Co2ReCl",
  "functional": "GGA-PBE",
  "state": "relaxed",
  "raw_formation_energy_kcal_per_mol_atoms": 15.41,
  "sg": "No. 35",
  "relative_energy_ev_per_atom": 0.407,
  "vol_a3_per_atom": 13.9,
  "lattice": [[2.755, 0.016, 0.000], [-1.321, 2.417, 0.000], [0.000, 0.000, 8.346]],
  "species": ["Re", "Co", "Co", "Cl"],
  "frac_coords": [[0.000, 0.000, 0.485], [0.000, 0.000, 0.006], [0.500, 0.500, 0.238], [0.500, 0.500, 0.771]]
}